(1)
An optimized crystal structure of NbZnCoB. Source: the Open Quantum Materials Database, functional PBE.

Output
magnetic moment	0.00	μB/f.u.
ρ	7.8	g cm⁻³
total energy	-5.8221	eV per atom
relative energy among the computed polymorphs	149	meV per atom
crystal system	cubic

Structure (POSCAR):
```
NbZnCoB
1.0
0.820 -4.019 -0.025
-2.388 -2.593 2.096
-2.474 -2.585 -2.005
Nb Co B Zn
1 1 1 1
direct
0.500 0.500 0.500
0.750 0.750 0.750
0.000 0.000 0.000
0.250 0.250 0.250
```

=====

(2)
An optimized crystal structure of HfCuTcBi. Source: the Open Quantum Materials Database, functional PBE.

Output
magnetic moment	0.14	μB/f.u.
ρ	12.6	g cm⁻³
total energy	-6.8225	eV per atom
relative energy among the computed polymorphs	0	meV per atom
crystal system	cubic

Structure (POSCAR):
```
HfCuTcBi
1.0
0.269 -4.398 1.575
-0.486 -0.883 4.569
-3.841 -2.162 1.569
Hf Bi Cu Tc
1 1 1 1
direct
0.500 0.500 0.500
0.000 0.000 0.000
0.250 0.250 0.250
0.750 0.750 0.750
```